Record 1
Computed, not measured: a relaxed Al2InP3 crystal at the PBE level of DFT.

Summary:
D(E_F) ... 0.0 states/eV/cell
Energy of formation ... -0.475 eV per atom
Crystal system ... monoclinic

abc: 6.917 6.917 6.902
angles: 99.53 99.53 120.08
Element x y z (fractional)
Al 0.595 0.429 0.007
Al 0.759 0.266 0.508
Al 0.429 0.595 0.507
Al 0.266 0.759 0.008
In 0.098 0.925 0.507
In 0.925 0.098 0.007
P 0.056 0.242 0.399
P 0.242 0.056 0.899
P 0.884 0.406 0.876
P 0.406 0.884 0.376
P 0.536 0.700 0.874
P 0.700 0.536 0.374

***

Record 2
Computed, not measured: a relaxed MgNiPb2 crystal at the PBE level of DFT.

Summary:
D(E_F) ... 2.7 states/eV/cell
Energy of formation ... 0.225 eV per atom
Crystal system ... tetragonal

abc: 5.773 5.773 5.773
angles: 136.66 136.66 62.96
Element x y z (fractional)
Mg 0.500 0.500 0.000
Ni 0.750 0.250 0.500
Pb 0.000 0.000 0.000
Pb 0.250 0.750 0.500

***

Record 3
Computed, not measured: a relaxed SrCu3 crystal at the PBE level of DFT.

Summary:
D(E_F) ... 1.1 states/eV/cell
Energy of formation ... 0.259 eV per atom
Crystal system ... tetragonal

abc: 4.731 4.731 4.731
angles: 119.30 119.30 91.22
Element x y z (fractional)
Cu 0.250 0.750 0.500
Cu 0.500 0.500 0.000
Cu 0.750 0.250 0.500
Sr 0.000 0.000 0.000

***

Record 4
Computed, not measured: a relaxed Pr2Y3Tl crystal at the PBE level of DFT.

Summary:
D(E_F) ... 7.5 states/eV/cell
Relative energy among the computed polymorphs ... 0.015 eV/atom
Energy of formation ... -0.100 eV per atom
Crystal system ... orthorhombic

abc: 4.958 4.947 8.108
angles: 107.76 90.00 90.00
Element x y z (fractional)
Pr 0.000 0.663 0.326
Pr 0.000 0.337 0.674
Y 0.500 0.164 0.327
Y 0.500 0.500 0.000
Y 0.500 0.836 0.673
Tl 0.000 0.000 0.000

***

Record 5
Computed, not measured: a relaxed Sm2In5Ni3 crystal at the PBE level of DFT.

Summary:
D(E_F) ... 13.7 states/eV/cell
Energy of formation ... -0.371 eV per atom
Crystal system ... orthorhombic

abc: 4.413 7.185 13.291
angles: 90.00 99.56 90.00
Element x y z (fractional)
Sm 0.475 0.780 0.950
Sm 0.174 0.704 0.347
Sm 0.826 0.204 0.653
Sm 0.525 0.280 0.050
In 0.404 0.402 0.809
In 0.290 0.497 0.579
In 0.710 0.997 0.421
In 0.126 0.245 0.252
In 0.294 0.905 0.587
In 0.948 0.110 0.896
In 0.706 0.405 0.413
In 0.874 0.745 0.748
In 0.052 0.610 0.104
In 0.596 0.902 0.191
Ni 0.771 0.699 0.543
Ni 0.610 0.526 0.219
Ni 0.046 0.998 0.091
Ni 0.229 0.199 0.457
Ni 0.954 0.498 0.909
Ni 0.390 0.026 0.781

***

Record 6
Computed, not measured: a relaxed SrDyTlBr6 crystal at the PBE level of DFT.

Summary:
D(E_F) ... 0.0 states/eV/cell
Formation energy from raw total energies ... -1517 kJ/mol of formula units
Crystal system ... trigonal

abc: 7.687 7.687 14.116
angles: 90.00 90.00 120.00
Element x y z (fractional)
Sr 0.333 0.667 0.250
Sr 0.667 0.333 0.750
Dy 0.667 0.333 0.250
Dy 0.333 0.667 0.750
Tl 0.000 0.000 0.000
Tl 0.000 0.000 0.500
Br 0.647 0.622 0.134
Br 0.975 0.353 0.134
Br 0.353 0.975 0.634
Br 0.025 0.647 0.866
Br 0.378 0.353 0.366
Br 0.975 0.622 0.366
Br 0.622 0.975 0.866
Br 0.647 0.025 0.366
Br 0.025 0.378 0.634
Br 0.378 0.025 0.134
Br 0.622 0.647 0.634
Br 0.353 0.378 0.866

***

Record 7
Computed, not measured: a relaxed Li2NdMg10 crystal at the PBE level of DFT.

Summary:
D(E_F) ... 7.1 states/eV/cell
Energy of formation ... -0.052 eV per atom
Crystal system ... orthorhombic

abc: 5.716 7.831 7.800
angles: 82.32 68.51 68.60
Element x y z (fractional)
Li 0.000 0.500 0.000
Li 0.500 0.500 0.000
Nd 0.000 0.000 0.000
Mg 0.351 0.644 0.654
Mg 0.649 0.356 0.346
Mg 0.995 0.356 0.654
Mg 0.005 0.644 0.346
Mg 0.000 0.000 0.500
Mg 0.500 0.000 0.500
Mg 0.286 0.220 0.209
Mg 0.714 0.780 0.791
Mg 0.506 0.780 0.209
Mg 0.494 0.220 0.791

***

Record 8
Computed, not measured: a relaxed Ag7Se6 crystal at the PBE level of DFT.

Summary:
D(E_F) ... 5.8 states/eV/cell
Formation energy from raw total energies ... 108 kJ/mol of formula units
Crystal system ... trigonal

abc: 9.494 9.494 9.494
angles: 39.37 39.37 39.37
Element x y z (fractional)
Se 0.043 0.043 0.043
Se 0.957 0.957 0.957
Se 0.185 0.185 0.185
Se 0.815 0.815 0.815
Se 0.351 0.351 0.351
Se 0.649 0.649 0.649
Ag 0.584 0.584 0.080
Ag 0.080 0.584 0.584
Ag 0.584 0.080 0.584
Ag 0.416 0.416 0.920
Ag 0.416 0.920 0.416
Ag 0.920 0.416 0.416
Ag 0.500 0.500 0.500

***

Record 9
Computed, not measured: a relaxed CaZrTl crystal at the PBE level of DFT.

Summary:
D(E_F) ... 3.4 states/eV/cell
Relative energy among the computed polymorphs ... 0.202 eV/atom
Energy of formation ... 0.107 eV per atom
Crystal system ... orthorhombic

abc: 6.163 6.163 6.163
angles: 147.97 138.60 53.28
Each line ends with the local moment (μB).
Element x y z (fractional)
Tl 0.318 0.318 0.000  -0.01
Ca 0.993 0.993 0.000  0.09
Zr 0.689 0.689 0.000  0.61

***

Record 10
Computed, not measured: a relaxed CoB4 crystal at the PBE level of DFT.

Summary:
D(E_F) ... 1.7 states/eV/cell
Energy of formation ... 1.590 eV per atom
Crystal system ... cubic

abc: 3.732 3.732 3.732
angles: 90.00 90.00 90.00
Element x y z (fractional)
B 0.000 0.000 0.000
B 0.500 0.000 0.500
B 0.000 0.500 0.500
B 0.500 0.500 0.000
Co 0.500 0.500 0.500

***

Record 11
Computed, not measured: a relaxed Cs3Np3BiTe8 crystal at the PBE level of DFT.

Summary:
D(E_F) ... 23.4 states/eV/cell
Formation energy from raw total energies ... -1126 kJ/mol of formula units
Crystal system ... trigonal

abc: 9.137 9.138 10.456
angles: 115.91 90.00 120.00
Each line ends with the local moment (μB).
Element x y z (fractional)
Cs 0.000 0.000 0.000  -0.01
Cs 0.000 0.500 0.000  -0.01
Cs 0.500 0.500 0.000  -0.01
Np 0.500 0.000 0.500  3.84
Np 0.500 0.500 0.500  3.84
Np 0.000 0.500 0.500  3.84
Bi 0.000 0.000 0.500  0.03
Te 0.270 0.541 0.311  -0.08
Te 0.730 0.459 0.689  -0.08
Te 0.766 0.532 0.311  -0.07
Te 0.234 0.468 0.689  -0.07
Te 0.766 0.045 0.311  -0.07
Te 0.234 0.955 0.689  -0.07
Te 0.278 0.045 0.311  -0.07
Te 0.722 0.955 0.689  -0.07

***

Record 12
Computed, not measured: a relaxed La2PtAu crystal at the PBE level of DFT.

Summary:
D(E_F) ... 3.0 states/eV/cell
Energy of formation ... -0.770 eV per atom
Crystal system ... cubic

abc: 5.036 5.036 5.036
angles: 60.00 60.00 60.00
Element x y z (fractional)
Au 0.750 0.750 0.750
La 0.000 0.000 0.000
La 0.250 0.250 0.250
Pt 0.500 0.500 0.500

***

Record 13
Computed, not measured: a relaxed Hf3ScAl crystal at the PBE level of DFT.

Summary:
D(E_F) ... 13.8 states/eV/cell
Relative energy among the computed polymorphs ... 0.567 eV/atom
Energy of formation ... 0.676 eV per atom
Crystal system ... cubic

abc: 5.025 5.025 5.025
angles: 90.00 90.00 90.00
Element x y z (fractional)
Sc 0.500 0.500 0.500
Hf 0.000 0.500 0.000
Hf 0.000 0.000 0.500
Hf 0.500 0.000 0.000
Al 0.000 0.000 0.000

***

Record 14
Computed, not measured: a relaxed CsAlAsBr2 crystal at the PBE level of DFT.

Summary:
D(E_F) ... 2.4 states/eV/cell
Formation energy from raw total energies ... -314 kJ/mol of formula units
Crystal system ... tetragonal

abc: 5.603 5.603 4.954
angles: 90.00 90.00 90.00
Each line ends with the local moment (μB).
Element x y z (fractional)
Cs 0.500 0.500 0.500  0.01
As 0.000 0.000 0.500  0.47
Al 0.000 0.000 0.000  -0.02
Br 0.000 0.500 0.000  0.07
Br 0.500 0.000 0.000  0.07

***

Record 15
Computed, not measured: a relaxed Sc2PPbBr crystal at the PBE level of DFT.

Summary:
D(E_F) ... 8.9 states/eV/cell
Formation energy from raw total energies ... 208 kJ/mol of formula units
Crystal system ... tetragonal

abc: 4.973 5.682 4.973
angles: 90.00 90.00 90.00
Element x y z (fractional)
Pb 0.000 0.500 0.000
Sc 0.000 0.000 0.500
Sc 0.500 0.000 0.000
Br 0.000 0.000 0.000
P 0.500 0.500 0.500

***

Record 16
Computed, not measured: a relaxed CaHo2Lu crystal at the PBE level of DFT.

Summary:
D(E_F) ... 7.2 states/eV/cell
Relative energy among the computed polymorphs ... 0.047 eV/atom
Energy of formation ... 0.155 eV per atom
Crystal system ... tetragonal

abc: 5.016 5.073 5.073
angles: 90.00 90.00 90.00
Element x y z (fractional)
Ca 0.500 0.000 0.000
Lu 0.500 0.500 0.500
Ho 0.000 0.000 0.500
Ho 0.000 0.500 0.000

***

Record 17
Computed, not measured: a relaxed RbTi3Hg crystal at the PBE level of DFT.

Summary:
D(E_F) ... 12.1 states/eV/cell
Relative energy among the computed polymorphs ... 0.000 eV/atom
Energy of formation ... 1.220 eV per atom
Crystal system ... cubic

abc: 5.353 5.353 5.353
angles: 90.00 90.00 90.00
Each line ends with the local moment (μB).
Element x y z (fractional)
Hg 0.000 0.000 0.000  0.05
Rb 0.500 0.500 0.500  0.07
Ti 0.000 0.500 0.000  1.53
Ti 0.000 0.000 0.500  1.32
Ti 0.500 0.000 0.000  1.72

***

Record 18
Computed, not measured: a relaxed Cs3Ce3ErSe8 crystal at the PBE level of DFT.

Summary:
D(E_F) ... 12.9 states/eV/cell
Formation energy from raw total energies ... -2476 kJ/mol of formula units
Crystal system ... trigonal

abc: 8.628 8.629 9.849
angles: 116.00 90.00 120.00
Each line ends with the local moment (μB).
Element x y z (fractional)
Cs 0.000 0.000 0.000  0.00
Cs 0.000 0.500 0.000  0.00
Cs 0.500 0.500 0.000  0.00
Ce 0.500 0.000 0.500  -0.70
Ce 0.500 0.500 0.500  -0.70
Ce 0.000 0.500 0.500  -0.70
Er 0.000 0.000 0.500  0.00
Se 0.271 0.542 0.312  0.02
Se 0.729 0.458 0.688  0.02
Se 0.776 0.552 0.319  0.02
Se 0.224 0.448 0.681  0.02
Se 0.776 0.042 0.319  0.02
Se 0.224 0.958 0.681  0.02
Se 0.267 0.042 0.319  0.02
Se 0.733 0.958 0.681  0.02

***

Record 19
Computed, not measured: a relaxed InPbC3 crystal at the PBE level of DFT.

Summary:
D(E_F) ... 4.7 states/eV/cell
Relative energy among the computed polymorphs ... 0.000 eV/atom
Energy of formation ... 2.866 eV per atom
Crystal system ... cubic

abc: 4.442 4.442 4.442
angles: 90.00 90.00 90.00
Each line ends with the local moment (μB).
Element x y z (fractional)
Pb 0.500 0.500 0.500  0.03
C 0.000 0.500 0.000  0.23
C 0.000 0.000 0.500  0.21
C 0.500 0.000 0.000  0.20
In 0.000 0.000 0.000  0.01

***

Record 20
Computed, not measured: a relaxed TlPtN2F crystal at the PBE level of DFT.

Summary:
D(E_F) ... 3.4 states/eV/cell
Relative energy among the computed polymorphs ... 0.000 eV/atom
Formation energy from raw total energies ... 170 kJ/mol of formula units
Crystal system ... tetragonal

abc: 3.764 3.764 7.003
angles: 90.00 90.00 90.00
Element x y z (fractional)
Tl 0.500 0.500 0.500
N 0.000 0.500 0.000
N 0.500 0.000 0.000
Pt 0.000 0.000 0.000
F 0.000 0.000 0.500